# DyScO3, optimized geometry, DFT PBE
data_DyScO3
_chemical_formula_sum 'Dy6 Sc6 O18'
_symmetry_space_group_name_H-M 'R -3'
_symmetry_Int_Tables_number 148
_symmetry_space_group_name_Hall '-R 3'
_cell_length_a 5.5349
_cell_length_b 5.5349
_cell_length_c 14.7168
_cell_angle_alpha 90.00
_cell_angle_beta 90.00
_cell_angle_gamma 120.00
loop_
_atom_site_label
_atom_site_type_symbol
_atom_site_fract_x
_atom_site_fract_y
_atom_site_fract_z
Dy1 Dy 0.0000 0.0000 0.1374
Sc1 Sc 0.0000 0.0000 0.3524
O1 O 0.0209 0.3055 0.2529
# total moment: 0.00 μB per cell
# volume: 390 Å³/cell
# final energy: -8.670 eV/atom